# CdW2Se GGA-PBEsol optimized geometry
data_CdW2Se
_space_group_name_H-M_alt 'P 1'
_space_group_IT_number 1
_cell_length_a 2.858
_cell_length_b 2.858
_cell_length_c 9.106
_cell_angle_alpha 90.00
_cell_angle_beta 90.00
_cell_angle_gamma 114.87
loop_
_space_group_symop_operation_xyz
'x,y,z'
loop_
_atom_site_label
_atom_site_fract_x
_atom_site_fract_y
_atom_site_fract_z
_atom_site_occupancy
Cd1 0.500 0.500 0.500 1
Se1 0.500 0.500 0.000 1
W1 0.000 0.000 0.230 1
W2 0.000 0.000 0.770 1
# V: 67 Å³ per cell
# M_tot: 0.000 μB/atom
# Energy relative to the lowest polymorph listed for this composition: 429.4 meV/atom
# Uncorrected formation energy: 0.794 eV per atom
# SG: Cmmm, No. 65
# VASP energy: -7.372 eV per atom
# Theoretical density: 13.76 Mg/m³

---

# YMg4Cu GGA-PBEsol optimized geometry
data_YMg4Cu
_space_group_name_H-M_alt 'P 1'
_space_group_IT_number 1
_cell_length_a 3.889
_cell_length_b 11.995
_cell_length_c 11.995
_cell_angle_alpha 112.38
_cell_angle_beta 90.00
_cell_angle_gamma 90.00
loop_
_space_group_symop_operation_xyz
'x,y,z'
loop_
_atom_site_label
_atom_site_fract_x
_atom_site_fract_y
_atom_site_fract_z
_atom_site_occupancy
Cu1 0.500 0.553 0.762 1
Cu2 0.500 0.447 0.238 1
Cu3 0.500 0.238 0.447 1
Cu4 0.500 0.762 0.553 1
Mg1 0.500 0.625 0.137 1
Mg2 0.500 0.375 0.863 1
Mg3 0.500 0.863 0.375 1
Mg4 0.500 0.137 0.625 1
Mg5 0.000 0.000 0.000 1
Mg6 0.500 0.500 0.500 1
Mg7 0.000 0.586 0.923 1
Mg8 0.000 0.414 0.077 1
Mg9 0.000 0.077 0.414 1
Mg10 0.000 0.923 0.586 1
Mg11 0.500 0.788 0.947 1
Mg12 0.500 0.212 0.053 1
Mg13 0.500 0.053 0.212 1
Mg14 0.500 0.947 0.788 1
Mg15 0.000 0.835 0.165 1
Mg16 0.000 0.165 0.835 1
Y1 0.000 0.632 0.368 1
Y2 0.000 0.368 0.632 1
Y3 0.000 0.697 0.697 1
Y4 0.000 0.303 0.303 1
# V: 517 Å³ per cell
# M_tot: 0.000 μB/atom
# Energy relative to the lowest polymorph listed for this composition: 0.0 meV/atom
# SG: Cmmm, No. 65
# VASP energy: -3.125 eV per atom
# Energy of formation from the pure elements: -0.12 eV/atom
# Theoretical density: 3.20 Mg/m³

---

# BSbW2 GGA-PBEsol optimized geometry
data_BSbW2
_space_group_name_H-M_alt 'P 1'
_space_group_IT_number 1
_cell_length_a 4.932
_cell_length_b 4.932
_cell_length_c 7.216
_cell_angle_alpha 109.98
_cell_angle_beta 109.98
_cell_angle_gamma 90.00
loop_
_space_group_symop_operation_xyz
'x,y,z'
loop_
_atom_site_label
_atom_site_fract_x
_atom_site_fract_y
_atom_site_fract_z
_atom_site_occupancy
Sb1 0.250 0.750 0.500 1
Sb2 0.000 0.000 0.000 1
B1 0.750 0.250 0.500 1
B2 0.500 0.500 0.000 1
W1 0.508 0.875 0.250 1
W2 0.742 0.375 0.250 1
W3 0.125 0.258 0.750 1
W4 0.625 0.492 0.750 1
# V: 154 Å³ per cell
# M_tot: 0.000 μB/atom
# Uncorrected formation energy: 1.101 eV per atom
# SG: I-42d, No. 122
# VASP energy: -8.696 eV per atom
# Theoretical density: 10.81 Mg/m³

---

# MgInGa2I GGA-PBEsol optimized geometry
data_MgInGa2I
_space_group_name_H-M_alt 'P 1'
_space_group_IT_number 1
_cell_length_a 5.196
_cell_length_b 5.196
_cell_length_c 5.546
_cell_angle_alpha 90.00
_cell_angle_beta 90.00
_cell_angle_gamma 90.00
loop_
_space_group_symop_operation_xyz
'x,y,z'
loop_
_atom_site_label
_atom_site_fract_x
_atom_site_fract_y
_atom_site_fract_z
_atom_site_occupancy
I1 0.500 0.500 0.500 1
Mg1 0.000 0.000 0.000 1
Ga1 0.000 0.500 0.000 1
Ga2 0.500 0.000 0.000 1
In1 0.000 0.000 0.500 1
# V: 150 Å³ per cell
# M_tot: 0.000 μB/atom
# Uncorrected formation energy: 0.259 eV per atom
# SG: P4/mmm, No. 123
# VASP energy: -2.371 eV per atom
# Theoretical density: 4.50 Mg/m³

---

# MgSiNi3 GGA-PBEsol optimized geometry
data_MgSiNi3
_space_group_name_H-M_alt 'P 1'
_space_group_IT_number 1
_cell_length_a 4.171
_cell_length_b 4.171
_cell_length_c 4.171
_cell_angle_alpha 90.00
_cell_angle_beta 90.00
_cell_angle_gamma 90.00
loop_
_space_group_symop_operation_xyz
'x,y,z'
loop_
_atom_site_label
_atom_site_fract_x
_atom_site_fract_y
_atom_site_fract_z
_atom_site_occupancy
Ni1 0.000 0.500 0.000 1
Ni2 0.000 0.000 0.500 1
Ni3 0.500 0.000 0.000 1
Si1 0.500 0.500 0.500 1
Mg1 0.000 0.000 0.000 1
# V: 73 Å³ per cell
# M_tot: 0.000 μB/atom
# Uncorrected formation energy: 1.236 eV per atom
# SG: Pm-3m, No. 221
# VASP energy: -3.951 eV per atom
# Theoretical density: 5.23 Mg/m³

---

# Hf3AsBr GGA-PBEsol optimized geometry
data_Hf3AsBr
_space_group_name_H-M_alt 'P 1'
_space_group_IT_number 1
_cell_length_a 4.838
_cell_length_b 4.838
_cell_length_c 4.838
_cell_angle_alpha 90.00
_cell_angle_beta 90.00
_cell_angle_gamma 90.00
loop_
_space_group_symop_operation_xyz
'x,y,z'
loop_
_atom_site_label
_atom_site_fract_x
_atom_site_fract_y
_atom_site_fract_z
_atom_site_occupancy
As1 0.500 0.500 0.500 1
Hf1 0.000 0.500 0.000 1
Hf2 0.000 0.000 0.500 1
Hf3 0.500 0.000 0.000 1
Br1 0.000 0.000 0.000 1
# V: 113 Å³ per cell
# M_tot: 0.000 μB/atom
# Uncorrected formation energy: 0.722 eV per atom
# SG: Pm-3m, No. 221
# VASP energy: -6.975 eV per atom
# Theoretical density: 10.12 Mg/m³

---

# Li2TlBr GGA-PBEsol optimized geometry
data_Li2TlBr
_space_group_name_H-M_alt 'P 1'
_space_group_IT_number 1
_cell_length_a 5.306
_cell_length_b 5.306
_cell_length_c 5.306
_cell_angle_alpha 60.00
_cell_angle_beta 60.00
_cell_angle_gamma 60.00
loop_
_space_group_symop_operation_xyz
'x,y,z'
loop_
_atom_site_label
_atom_site_fract_x
_atom_site_fract_y
_atom_site_fract_z
_atom_site_occupancy
Br1 0.500 0.500 0.500 1
Li1 0.000 0.000 0.000 1
Li2 0.750 0.750 0.750 1
Tl1 0.250 0.250 0.250 1
# V: 106 Å³ per cell
# M_tot: 0.000 μB/atom
# Energy relative to the lowest polymorph listed for this composition: 481.1 meV/atom
# Uncorrected formation energy: -0.209 eV per atom
# SG: F-43m, No. 216
# VASP energy: -2.317 eV per atom
# Theoretical density: 4.69 Mg/m³

---

# Sr2IrPb GGA-PBEsol optimized geometry
data_Sr2IrPb
_space_group_name_H-M_alt 'P 1'
_space_group_IT_number 1
_cell_length_a 3.651
_cell_length_b 3.651
_cell_length_c 8.971
_cell_angle_alpha 90.00
_cell_angle_beta 90.00
_cell_angle_gamma 90.00
loop_
_space_group_symop_operation_xyz
'x,y,z'
loop_
_atom_site_label
_atom_site_fract_x
_atom_site_fract_y
_atom_site_fract_z
_atom_site_occupancy
Ir1 0.000 0.000 0.553 1
Pb1 0.500 0.500 0.684 1
Sr1 0.000 0.000 0.933 1
Sr2 0.500 0.500 0.330 1
# V: 120 Å³ per cell
# M_tot: 0.000 μB/atom
# SG: P4mm, No. 99
# VASP energy: -4.382 eV per atom
# Energy of formation from the pure elements: -0.01 eV/atom
# Theoretical density: 7.98 Mg/m³